1.
First-principles (PBE) data for a relaxed TbTlAgI5 crystal, as listed in Alexandria.

crystal system	monoclinic
spin magnetization	0.00	μB per cell
formation energy (no corrections)	-7.191	eV/f.u.

abc: 8.4518 8.4518 11.3674
angles: 102.64 102.64 108.71
Closest atoms and distances in Å follow each position.
Fractional coordinates of all 16 atoms:
1 Tb 0.0000 0.0000 0.5000  6 I 3.04-3.08
2 Tb 0.0000 0.0000 0.0000  6 I 3.04-3.08
3 Tl 0.3718 0.6282 0.2500  5 I 3.52-3.91
4 Tl 0.6282 0.3718 0.7500  5 I 3.52-3.91
5 Ag 0.6902 0.3098 0.2500  4 I 2.82-2.88
6 Ag 0.3098 0.6902 0.7500  4 I 2.82-2.88
7 I 0.0868 0.9132 0.2500  2 Tb 3.08
8 I 0.9132 0.0868 0.7500  2 Tb 3.08
9 I 0.9336 0.3238 0.1135  1 Ag 2.82, 1 Tb 3.04
10 I 0.0664 0.6762 0.8865  1 Ag 2.82, 1 Tb 3.04
11 I 0.6762 0.0664 0.3865  1 Ag 2.82, 1 Tb 3.04
12 I 0.3238 0.9336 0.6135  1 Ag 2.82, 1 Tb 3.04
13 I 0.7520 0.6206 0.4489  1 Ag 2.88, 1 Tb 3.06
14 I 0.2480 0.3794 0.5511  1 Ag 2.88, 1 Tb 3.06
15 I 0.3794 0.2480 0.0511  1 Ag 2.88, 1 Tb 3.06
16 I 0.6206 0.7520 0.9489  1 Ag 2.88, 1 Tb 3.06

---

2.
First-principles (PBE) data for a relaxed TbTlAg2I6 crystal, as listed in Alexandria.

crystal system	trigonal
spin magnetization	0.00	μB per cell
formation energy (no corrections)	-7.558	eV/f.u.

abc: 8.0354 8.0338 9.1579
angles: 90.02 116.04 119.98
Closest atoms and distances in Å follow each position.
Fractional coordinates of all 10 atoms:
1 Tb 0.9968 0.9979 0.9805  6 I 3.06
2 Tl 0.9970 0.4982 0.4807  6 I 3.53
3 Ag 0.4597 0.7291 0.1746  3 I 2.78
4 Ag 0.5325 0.2658 0.7849  3 I 2.78
5 I 0.5382 0.9248 0.7527  1 Ag 2.78, 1 Tb 3.06
6 I 0.4553 0.0707 0.2080  1 Ag 2.78, 1 Tb 3.06
7 I 0.8393 0.7673 0.2082  1 Ag 2.78, 1 Tb 3.06
8 I 0.1517 0.3835 0.2082  1 Ag 2.78, 1 Tb 3.06
9 I 0.8414 0.6121 0.7524  1 Ag 2.78, 1 Tb 3.06
10 I 0.1538 0.2283 0.7524  1 Ag 2.78, 1 Tb 3.06

---

3.
First-principles (PBE) data for a relaxed Tc2AgI crystal, as listed in Alexandria.

crystal system	tetragonal
ΔE to the lowest computed polymorph	48	meV per atom
spin magnetization	0.00	μB per cell
formation energy (no corrections)	4.252	eV/f.u.

abc: 4.0128 4.0128 10.5680
angles: 79.06 79.06 90.00
Closest atoms and distances in Å follow each position.
Fractional coordinates of all 8 atoms:
1 I 0.0000 0.0000 0.0000  4 Ag 2.84, 4 Tc 3.05
2 I 0.7500 0.2500 0.5000  4 Ag 2.84, 4 Tc 3.05
3 Tc 0.5397 0.1250 0.2500  2 Tc 2.40
4 Tc 0.2103 0.6250 0.2500  2 Tc 2.40
5 Tc 0.3750 0.4603 0.7500  2 Tc 2.40
6 Tc 0.8750 0.7897 0.7500  2 Tc 2.40
7 Ag 0.5000 0.5000 0.0000  4 Tc 2.81, 4 I 2.84
8 Ag 0.2500 0.7500 0.5000  4 Tc 2.81, 4 I 2.84

---

4.
First-principles (PBE) data for a relaxed TcAgI2 crystal, as listed in Alexandria.

crystal system	tetragonal
ΔE to the lowest computed polymorph	0	meV per atom
spin magnetization	0.00	μB per cell
formation energy (no corrections)	2.606	eV/f.u.

abc: 6.6132 6.6132 7.3683
angles: 63.34 63.34 90.00
Closest atoms and distances in Å follow each position.
Fractional coordinates of all 8 atoms:
1 I 0.5926 0.1250 0.2500  2 Tc 2.61, 2 Ag 2.87
2 I 0.1574 0.6250 0.2500  2 Tc 2.61, 2 Ag 2.87
3 I 0.3750 0.4074 0.7500  2 Tc 2.61, 2 Ag 2.87
4 I 0.8750 0.8426 0.7500  2 Tc 2.61, 2 Ag 2.87
5 Tc 0.5000 0.5000 0.0000  4 I 2.61
6 Tc 0.2500 0.7500 0.5000  4 I 2.61
7 Ag 0.0000 0.0000 0.0000  4 I 2.87
8 Ag 0.7500 0.2500 0.5000  4 I 2.87

---

5.
First-principles (PBE) data for a relaxed Tc2AgI2 crystal, as listed in Alexandria.

crystal system	tetragonal
ΔE to the lowest computed polymorph	0	meV per atom
spin magnetization	0.00	μB per cell
formation energy (no corrections)	4.167	eV/f.u.

abc: 4.0601 4.0601 8.3909
angles: 76.00 76.00 90.00
Closest atoms and distances in Å follow each position.
Fractional coordinates of all 5 atoms:
1 I 0.3575 0.3575 0.2851  4 Tc 2.64
2 I 0.6425 0.6425 0.7149  4 Tc 2.64
3 Tc 0.7500 0.2500 0.5000  4 I 2.64, 4 Tc 2.87
4 Tc 0.2500 0.7500 0.5000  4 I 2.64, 4 Tc 2.87
5 Ag 0.0000 0.0000 0.0000  8 I 3.65, 4 Ag 4.06

---

6.
First-principles (PBE) data for a relaxed TcAgI6 crystal, as listed in Alexandria.

crystal system	monoclinic
spin magnetization	2.76	μB per cell
formation energy (no corrections)	-0.334	eV/f.u.

abc: 7.3754 7.3978 7.3978
angles: 119.95 102.36 102.36
Closest atoms and distances in Å follow each position.
Fractional coordinates of all 8 atoms:
1 Tc 0.0000 0.0000 0.0000  6 I 2.71-2.75
2 Ag 0.5000 0.5000 0.5000  4 I 2.85
3 I 0.7570 0.6053 0.9145  1 Tc 2.75, 1 Ag 2.85
4 I 0.7570 0.9145 0.6053  1 Tc 2.75, 1 Ag 2.85
5 I 0.2430 0.0855 0.3947  1 Tc 2.75, 1 Ag 2.85
6 I 0.2430 0.3947 0.0855  1 Tc 2.75, 1 Ag 2.85
7 I 0.7842 0.2188 0.2188  1 Tc 2.71
8 I 0.2158 0.7812 0.7812  1 Tc 2.71